Entry 1:
# Hf3AuC

Crystalline Hf3AuC at its relaxed geometry (PBE-GGA, OQMD).

The space group is Cmcm (No. 63) and the conventional cell measures 3.348, 11.655 and 9.003 Å, with angles of 90.00, 90.00 and 90.00 degrees. Symmetry generates all atoms from Hf at (0.000, 0.047, 0.250), Hf at (0.000, 0.374, 0.051), Au at (0.000, 0.252, 0.750) and C at (0.000, 0.000, 0.000).

The calculated total energy is -0.3367 hartree per atom. As for the total moment: 0.00 μB per formula unit. For the energy above the most stable polymorph in this dataset, the calculation gives 0 meV per atom. The volume comes out at 351.3 Å³/cell.



Entry 2:
# Pr3Cd2InAg2Pd

Crystalline Pr3Cd2InAg2Pd at its relaxed geometry (PBE-GGA, OQMD).

The space group is Amm2 (No. 38) and the conventional cell measures 4.124, 13.761 and 7.883 Å, with angles of 90.00, 90.00 and 90.00 degrees. Symmetry generates all atoms from Pr at (0.000, 0.000, 0.000), Pr at (0.000, 0.201, 0.400), Cd at (0.500, 0.126, 0.726), In at (0.500, 0.000, 0.354), Ag at (0.500, 0.166, 0.102) and Pd at (0.000, 0.000, 0.596).

The calculated total energy is -0.1381 hartree per atom. As for the total moment: 0.03 μB per formula unit. The volume comes out at 447.4 Å³/cell.



Entry 3:
# HfZr3As4

Crystalline HfZr3As4 at its relaxed geometry (PBE-GGA, OQMD).

The space group is P3m1 (No. 156) and the conventional cell measures 3.8267, 3.8267 and 12.9129 Å, with angles of 90.00, 90.00 and 120.00 degrees. Symmetry generates all atoms from Hf at (0.0000, 0.0000, 0.0000), Zr at (0.0000, 0.0000, 0.7348), Zr at (0.6667, 0.3333, 0.2330), Zr at (0.6667, 0.3333, 0.5011), As at (0.0000, 0.0000, 0.3669), As at (0.3333, 0.6667, 0.1144), As at (0.3333, 0.6667, 0.6179) and As at (0.6667, 0.3333, 0.8701).

The calculated total energy is -0.2900 hartree per atom. As for the total moment: 0.01 μB per formula unit. The volume comes out at 163.8 Å³/cell.



Entry 4:
# HfSCl6O

Crystalline HfSCl6O at its relaxed geometry (PBE-GGA, OQMD).

The space group is P2_1/c (No. 14) and the conventional cell measures 6.774, 21.917 and 7.386 Å, with angles of 90.00, 114.64 and 90.00 degrees. Symmetry generates all atoms from Hf at (0.003, 0.075, 0.153), S at (0.377, 0.641, 0.827), Cl at (0.188, 0.168, 0.175), Cl at (0.206, 0.026, 0.962), Cl at (0.210, 0.720, 0.821), Cl at (0.244, 0.033, 0.457), Cl at (0.258, 0.611, 0.240), Cl at (0.394, 0.175, 0.761) and O at (0.228, 0.603, 0.661).

The calculated total energy is -0.1702 hartree per atom. As for the total moment: 0.00 μB per formula unit. The volume comes out at 996.8 Å³/cell.



Entry 5:
# BaCoS2

Crystalline BaCoS2 at its relaxed geometry (PBE-GGA, OQMD).

The space group is Pmmn (No. 59, origin choice 2) and the conventional cell measures 4.370, 4.389 and 8.937 Å, with angles of 90.00, 90.00 and 90.00 degrees. Symmetry generates all atoms from Ba at (0.250, 0.250, 0.199), Co at (0.250, 0.250, 0.587), S at (0.250, 0.250, 0.840) and S at (0.250, 0.750, 0.501).

The calculated total energy is -0.2001 hartree per atom. As for the total moment: 0.52 μB per formula unit. The volume comes out at 171.4 Å³/cell.



Entry 6:
# NaYTaCo

Crystalline NaYTaCo at its relaxed geometry (PBE-GGA, OQMD).

The space group is F-43m (No. 216) and the conventional cell measures 6.721, 6.721 and 6.721 Å, with angles of 90.00, 90.00 and 90.00 degrees. Symmetry generates all atoms from Na at (0.000, 0.000, 0.000), Y at (0.250, 0.250, 0.750), Ta at (0.250, 0.250, 0.250) and Co at (0.000, 0.000, 0.500).

The calculated total energy is -0.2220 hartree per atom. As for the total moment: 0.19 μB per formula unit. For the energy above the most stable polymorph in this dataset, the calculation gives 0 meV per atom. The volume comes out at 303.6 Å³/cell.



Entry 7:
# LiCuAgB

Crystalline LiCuAgB at its relaxed geometry (PBE-GGA, OQMD).

The space group is F-43m (No. 216) and the conventional cell measures 5.671, 5.671 and 5.671 Å, with angles of 90.00, 90.00 and 90.00 degrees. Symmetry generates all atoms from Li at (0.000, 0.000, 0.000), Cu at (0.250, 0.250, 0.750), Ag at (0.250, 0.250, 0.250) and B at (0.000, 0.000, 0.500).

The calculated total energy is -0.1255 hartree per atom. For the energy above the most stable polymorph in this dataset, the calculation gives 0 meV per atom. The volume comes out at 182.3 Å³/cell.



Entry 8:
# GdDySeO2

Crystalline GdDySeO2 at its relaxed geometry (PBE-GGA, OQMD).

The space group is P3m1 (No. 156) and the conventional cell measures 3.8452, 3.8452 and 6.7940 Å, with angles of 90.00, 90.00 and 120.00 degrees. Symmetry generates all atoms from Gd at (0.0000, 0.0000, 0.0000), Dy at (0.3333, 0.6667, 0.5793), Se at (0.6667, 0.3333, 0.2915), O at (0.0000, 0.0000, 0.6608) and O at (0.3333, 0.6667, 0.9136).

The calculated total energy is -0.2807 hartree per atom. As for the total moment: 0.00 μB per formula unit. The volume comes out at 87.0 Å³/cell.